(1)
Below is Pm2Sm3Y6Mg after structural relaxation, with properties calculated at the PBE level.

Output
Formation energy from the elements   0.022 eV/atom
ρ   5.6 Mg/m³
E_tot   -5.314 eV/atom
Crystal system   monoclinic

a = 6.194 Å, b = 6.194 Å, c = 11.847 Å
α = 95.01°, β = 95.01°, γ = 120.03°
Atoms (fractional coordinates):
Pm 0.166 0.834 0.000
Pm 0.834 0.166 0.000
Sm 0.000 0.000 0.500
Sm 0.334 0.666 0.500
Sm 0.666 0.334 0.500
Y 0.086 0.418 0.752
Y 0.251 0.251 0.249
Y 0.418 0.086 0.752
Y 0.582 0.914 0.248
Y 0.749 0.749 0.751
Y 0.914 0.582 0.248
Mg 0.500 0.500 0.000

(2)
Below is Pm3Sm6Y2Mg after structural relaxation, with properties calculated at the PBE level.

Output
Formation energy from the elements   0.026 eV/atom
ρ   6.5 Mg/m³
E_tot   -4.732 eV/atom
Crystal system   monoclinic

a = 6.249 Å, b = 6.249 Å, c = 11.866 Å
α = 95.06°, β = 95.06°, γ = 120.06°
Atoms (fractional coordinates):
Pm 0.000 0.000 0.000
Pm 0.333 0.667 0.000
Pm 0.667 0.333 0.000
Sm 0.088 0.419 0.254
Sm 0.249 0.249 0.747
Sm 0.419 0.088 0.254
Sm 0.581 0.912 0.746
Sm 0.751 0.751 0.253
Sm 0.912 0.581 0.746
Y 0.166 0.834 0.500
Y 0.834 0.166 0.500
Mg 0.500 0.500 0.500

(3)
Below is Pm6Sm2YMg after structural relaxation, with properties calculated at the PBE level.

Output
Formation energy from the elements   0.110 eV/atom
ρ   6.4 Mg/m³
E_tot   -4.491 eV/atom
Crystal system   monoclinic

a = 9.034 Å, b = 9.034 Å, c = 9.285 Å
α = 92.25°, β = 92.25°, γ = 118.36°
Atoms (fractional coordinates):
Pm 0.004 0.430 0.796
Pm 0.140 0.781 0.553
Pm 0.219 0.860 0.947
Pm 0.275 0.500 0.396
Pm 0.430 0.004 0.296
Pm 0.500 0.275 0.896
Pm 0.500 0.725 0.104
Pm 0.570 0.996 0.704
Pm 0.725 0.500 0.604
Pm 0.781 0.140 0.053
Pm 0.860 0.219 0.447
Pm 0.996 0.570 0.204
Sm 0.213 0.323 0.048
Sm 0.323 0.213 0.548
Sm 0.677 0.787 0.452
Sm 0.787 0.677 0.952
Y 0.023 0.977 0.250
Y 0.977 0.023 0.750
Mg 0.421 0.579 0.750
Mg 0.579 0.421 0.250

(4)
Below is Pm2Sm6Y3Mg after structural relaxation, with properties calculated at the PBE level.

Output
Formation energy from the elements   0.015 eV/atom
ρ   6.3 Mg/m³
E_tot   -4.885 eV/atom
Crystal system   monoclinic

a = 6.225 Å, b = 6.225 Å, c = 11.858 Å
α = 95.03°, β = 95.03°, γ = 120.04°
Atoms (fractional coordinates):
Pm 0.167 0.833 0.000
Pm 0.833 0.167 0.000
Sm 0.086 0.417 0.750
Sm 0.251 0.251 0.251
Sm 0.417 0.086 0.750
Sm 0.583 0.914 0.250
Sm 0.749 0.749 0.749
Sm 0.914 0.583 0.250
Y 0.000 0.000 0.500
Y 0.334 0.666 0.500
Y 0.666 0.334 0.500
Mg 0.500 0.500 0.000